Record 1
# ZnAsPSe2

A geometry-optimized ZnAsPSe2 structure (GGA-PBEsol, Alexandria).

Computed properties:
M_tot in μB per atom: 0.00
Formation energy without anion corrections in meV/atom: 856

abc: 4.731 4.731 4.745
angles: 90.00 90.00 90.00
Sites, in units of the cell vectors:
P (0.500, 0.500, 0.500)
As (0.000, 0.000, 0.500)
Zn (0.000, 0.000, 0.000)
Se (0.000, 0.500, 0.000)
Se (0.500, 0.000, 0.000)

=====

Record 2
# Al2Zn3

A geometry-optimized Al2Zn3 structure (GGA-PBEsol, Alexandria).

Computed properties:
M_tot in μB per atom: 0.00
Formation enthalpy at 0 K in eV per formula unit: 0.1

abc: 2.814 2.814 11.047
angles: 82.68 82.68 60.00
Sites, in units of the cell vectors:
Zn (0.000, 0.000, 0.000)
Zn (0.199, 0.199, 0.403)
Zn (0.801, 0.801, 0.597)
Al (0.600, 0.600, 0.201)
Al (0.400, 0.400, 0.799)

=====

Record 3
# BaNi2

A geometry-optimized BaNi2 structure (GGA-PBEsol, Alexandria).

Computed properties:
M_tot in μB per atom: 0.00
Formation enthalpy at 0 K in eV per formula unit: 3.6

abc: 4.528 4.528 4.528
angles: 60.00 60.00 60.00
Sites, in units of the cell vectors:
Ba (0.000, 0.000, 0.000)
Ni (0.250, 0.250, 0.250)
Ni (0.750, 0.750, 0.750)

=====

Record 4
# SrTi2P2

A geometry-optimized SrTi2P2 structure (GGA-PBEsol, Alexandria).

Computed properties:
M_tot in μB per atom: 0.30
Formation enthalpy at 0 K in eV per formula unit: -3.1

abc: 4.681 4.681 5.643
angles: 114.51 114.51 90.00
Sites, in units of the cell vectors:
Sr (0.000, 0.000, 0.000)
P (0.250, 0.750, 0.500)
P (0.750, 0.250, 0.500)
Ti (0.339, 0.339, 0.678)
Ti (0.661, 0.661, 0.322)

=====

Record 5
# UPdSe3

A geometry-optimized UPdSe3 structure (GGA-PBEsol, Alexandria).

Computed properties:
M_tot in μB per atom: 0.32
Formation energy without anion corrections in meV/atom: -784

abc: 6.311 7.495 8.700
angles: 90.00 90.00 90.00
Sites, in units of the cell vectors:
U (0.933, 0.360, 0.250)
U (0.433, 0.140, 0.750)
U (0.567, 0.860, 0.250)
U (0.067, 0.640, 0.750)
Pd (0.000, 0.000, 0.000)
Pd (0.000, 0.000, 0.500)
Pd (0.500, 0.500, 0.500)
Pd (0.500, 0.500, 0.000)
Se (0.344, 0.835, 0.943)
Se (0.156, 0.335, 0.943)
Se (0.656, 0.165, 0.057)
Se (0.344, 0.835, 0.557)
Se (0.186, 0.063, 0.250)
Se (0.686, 0.437, 0.750)
Se (0.314, 0.563, 0.250)
Se (0.814, 0.937, 0.750)
Se (0.156, 0.335, 0.557)
Se (0.656, 0.165, 0.443)
Se (0.844, 0.665, 0.057)
Se (0.844, 0.665, 0.443)

=====

Record 6
# La3Sc

A geometry-optimized La3Sc structure (GGA-PBEsol, Alexandria).

Computed properties:
M_tot in μB per atom: 0.00
Formation enthalpy at 0 K in eV per formula unit: 0.3

abc: 3.557 5.757 6.100
angles: 90.00 90.00 90.00
Sites, in units of the cell vectors:
Sc (0.000, 0.500, 0.328)
La (0.000, 0.000, 0.011)
La (0.500, 0.000, 0.493)
La (0.500, 0.500, 0.835)

=====

> What is the M_tot in the fifth record?

0.32 μB per atom

=====

> Which formula does entry 5 have?

UPdSe3

=====

> Which value of M_tot does entry 6 give?

0.00 μB per atom